# 1
Entry from the Alexandria database: LaNdSm2In4 after structural relaxation (GGA-PBE).

Structure (CIF):
```
data_LaNdSm2In4
_chemical_formula_sum 'La3 Nd3 Sm6 In12'
_cell_length_a 5.4740
_cell_length_b 5.4740
_cell_length_c 26.8660
_cell_angle_alpha 90.00
_cell_angle_beta 90.00
_cell_angle_gamma 120.00
_symmetry_space_group_name_H-M 'R -3 m'
_symmetry_Int_Tables_number 166
_symmetry_space_group_name_Hall '-R 3 2"'
loop_
_atom_site_label
_atom_site_type_symbol
_atom_site_fract_x
_atom_site_fract_y
_atom_site_fract_z
La1 La 0.0000 0.0000 0.0000
Nd1 Nd 0.0000 0.0000 0.5000
Sm1 Sm 0.0000 0.0000 0.2499
In1 In 0.0000 0.0000 0.1259
In2 In 0.0000 0.0000 0.3758
```

Values from the calculation:
The calculation puts the total energy at -102.1 eV for the cell shown. The value obtained for the formation energy is -382 kJ/mol of formula units. Its crystal system is trigonal.

***

# 2
Entry from the Alexandria database: Cu2CI after structural relaxation (GGA-PBE).

Structure (CIF):
```
data_Cu2CI
_chemical_formula_sum 'Cu8 C4 I4'
_cell_length_a 5.430
_cell_length_b 5.430
_cell_length_c 9.649
_cell_angle_alpha 90.00
_cell_angle_beta 90.00
_cell_angle_gamma 90.00
_symmetry_space_group_name_H-M 'I -4 2 d'
_symmetry_Int_Tables_number 122
_symmetry_space_group_name_Hall 'I -4 2bw'
loop_
_atom_site_label
_atom_site_type_symbol
_atom_site_fract_x
_atom_site_fract_y
_atom_site_fract_z
Cu1 Cu 0.124 0.250 0.125
C1 C 0.000 0.000 0.000
I1 I 0.000 0.000 0.500
```

Values from the calculation:
The calculation puts the total energy at -61.8 eV for the cell shown. Its crystal system is tetragonal. Its uncorrected formation energy is 0.88 eV per atom.

***

# 3
Entry from the Alexandria database: MnAg2P2 after structural relaxation (GGA-PBE).

Structure (CIF):
```
data_MnAg2P2
_chemical_formula_sum 'Mn2 Ag4 P4'
_cell_length_a 5.892
_cell_length_b 5.892
_cell_length_c 4.710
_cell_angle_alpha 90.00
_cell_angle_beta 90.00
_cell_angle_gamma 90.00
_symmetry_space_group_name_H-M 'P 4/m b m'
_symmetry_Int_Tables_number 127
_symmetry_space_group_name_Hall '-P 4 2ab'
loop_
_atom_site_label
_atom_site_type_symbol
_atom_site_fract_x
_atom_site_fract_y
_atom_site_fract_z
Mn1 Mn 0.000 0.000 0.000
Ag1 Ag 0.241 0.259 0.500
P1 P 0.134 0.366 0.000
```

Values from the calculation:
The calculation puts the total energy at -51.5 eV for the cell shown. The value obtained for the formation energy is -7 kJ/mol of formula units. Its crystal system is tetragonal.

***

# 4
Entry from the Alexandria database: Pr3Sm2DyAs6 after structural relaxation (GGA-PBE).

Structure (CIF):
```
data_Pr3Sm2DyAs6
_chemical_formula_sum 'Pr6 Sm4 Dy2 As12'
_cell_length_a 18.503
_cell_length_b 4.248
_cell_length_c 8.489
_cell_angle_alpha 90.00
_cell_angle_beta 103.25
_cell_angle_gamma 90.00
_symmetry_space_group_name_H-M 'C 1 2/m 1'
_symmetry_Int_Tables_number 12
_symmetry_space_group_name_Hall '-C 2y'
loop_
_atom_site_label
_atom_site_type_symbol
_atom_site_fract_x
_atom_site_fract_y
_atom_site_fract_z
Pr1 Pr 0.000 0.000 0.000
Pr2 Pr 0.167 0.500 0.334
Sm1 Sm 0.166 0.500 0.833
Dy1 Dy 0.000 0.000 0.500
As1 As 0.001 0.500 0.743
As2 As 0.164 0.000 0.585
As3 As 0.168 0.000 0.080
```

Values from the calculation:
The calculation puts the total energy at -148.8 eV for the cell shown. The value obtained for the formation energy is -1748 kJ/mol of formula units. Its crystal system is monoclinic.

***

# 5
Entry from the Alexandria database: AsIr3 after structural relaxation (GGA-PBE).

Structure (CIF):
```
data_AsIr3
_chemical_formula_sum 'As4 Ir12'
_cell_length_a 5.5762
_cell_length_b 5.5762
_cell_length_c 8.8925
_cell_angle_alpha 90.00
_cell_angle_beta 90.00
_cell_angle_gamma 120.00
_symmetry_space_group_name_H-M 'P 63/m m c'
_symmetry_Int_Tables_number 194
_symmetry_space_group_name_Hall '-P 6c 2c'
loop_
_atom_site_label
_atom_site_type_symbol
_atom_site_fract_x
_atom_site_fract_y
_atom_site_fract_z
As1 As 0.0000 0.0000 0.0000
As2 As 0.3333 0.6667 0.2500
Ir1 Ir 0.0000 0.5000 0.0000
Ir2 Ir 0.1675 0.3350 0.7500
```

Values from the calculation:
The calculation puts the total energy at -120.7 eV for the cell shown. The value obtained for the formation energy is 103 kJ/mol of formula units. Its crystal system is hexagonal.

***

# 6
Entry from the Alexandria database: Be2HgRu2 after structural relaxation (GGA-PBE).

Structure (CIF):
```
data_Be2HgRu2
_chemical_formula_sum 'Be4 Hg2 Ru4'
_cell_length_a 6.353
_cell_length_b 6.353
_cell_length_c 3.124
_cell_angle_alpha 90.00
_cell_angle_beta 90.00
_cell_angle_gamma 90.00
_symmetry_space_group_name_H-M 'P 4/m b m'
_symmetry_Int_Tables_number 127
_symmetry_space_group_name_Hall '-P 4 2ab'
loop_
_atom_site_label
_atom_site_type_symbol
_atom_site_fract_x
_atom_site_fract_y
_atom_site_fract_z
Be1 Be 0.120 0.380 0.000
Hg1 Hg 0.000 0.000 0.000
Ru1 Ru 0.165 0.665 0.500
```

Values from the calculation:
The calculation puts the total energy at -52.5 eV for the cell shown. The value obtained for the formation energy is 6 kJ/mol of formula units. Its crystal system is tetragonal.

***

# 7
Entry from the Alexandria database: LiSiRu2 after structural relaxation (GGA-PBE).

Structure (CIF):
```
data_LiSiRu2
_chemical_formula_sum 'Li2 Si2 Ru4'
_cell_length_a 2.856
_cell_length_b 4.537
_cell_length_c 8.700
_cell_angle_alpha 90.00
_cell_angle_beta 90.00
_cell_angle_gamma 90.00
_symmetry_space_group_name_H-M 'C m m 2'
_symmetry_Int_Tables_number 35
_symmetry_space_group_name_Hall 'C 2 -2'
loop_
_atom_site_label
_atom_site_type_symbol
_atom_site_fract_x
_atom_site_fract_y
_atom_site_fract_z
Li1 Li 0.000 0.000 0.000
Si1 Si 0.000 0.500 0.746
Ru1 Ru 0.000 0.000 0.522
Ru2 Ru 0.000 0.500 0.261
```

Values from the calculation:
The calculation puts the total energy at -50.4 eV for the cell shown. Its crystal system is orthorhombic. Its uncorrected formation energy is 0.17 eV per atom.

***

# 8
Entry from the Alexandria database: Er3Pd4 after structural relaxation (GGA-PBE).

Structure (CIF):
```
data_Er3Pd4
_chemical_formula_sum 'Er18 Pd24'
_cell_length_a 13.1122
_cell_length_b 13.1122
_cell_length_c 5.7283
_cell_angle_alpha 90.00
_cell_angle_beta 90.00
_cell_angle_gamma 120.00
_symmetry_space_group_name_H-M 'R -3'
_symmetry_Int_Tables_number 148
_symmetry_space_group_name_Hall '-R 3'
loop_
_atom_site_label
_atom_site_type_symbol
_atom_site_fract_x
_atom_site_fract_y
_atom_site_fract_z
Er1 Er 0.0405 0.8295 0.2341
Pd1 Pd 0.0000 0.0000 0.0000
Pd2 Pd 0.0000 0.0000 0.5000
Pd3 Pd 0.0513 0.7837 0.7189
```

Values from the calculation:
The calculation puts the total energy at -247.3 eV for the cell shown. The value obtained for the formation energy is -651 kJ/mol of formula units. Its crystal system is trigonal.